No. 1
# MgSiP2 | Alexandria via LeMat-Bulk | PBEsol | relaxed
data_MgSiP2
_chemical_formula_sum 'Mg4 Si4 P8'
_space_group_name_H-M_alt 'F m -3 m'
_space_group_IT_number 225
_space_group_name_Hall '-F 4 2 3'
_cell_length_a 6.287
_cell_length_b 6.287
_cell_length_c 6.287
_cell_angle_alpha 90.00
_cell_angle_beta 90.00
_cell_angle_gamma 90.00
loop_
_atom_site_label
_atom_site_type_symbol
_atom_site_fract_x
_atom_site_fract_y
_atom_site_fract_z
Mg1 Mg 0.000 0.000 0.000
Si1 Si 0.000 0.000 0.500
P1 P 0.250 0.250 0.250
# Uncorrected formation energy in eV per formula unit: 0.82
# Offset from the most stable computed form in eV/f.u.: 2.406
# Electronic total energy in eV/atom: -4.558

=====

No. 2
# MgSiP2 | Alexandria via LeMat-Bulk | PBEsol | relaxed
data_MgSiP2
_chemical_formula_sum 'Mg4 Si4 P8'
_space_group_name_H-M_alt 'I -4 2 d'
_space_group_IT_number 122
_space_group_name_Hall 'I -4 2bw'
_cell_length_a 5.744
_cell_length_b 5.744
_cell_length_c 10.043
_cell_angle_alpha 90.00
_cell_angle_beta 90.00
_cell_angle_gamma 90.00
loop_
_atom_site_label
_atom_site_type_symbol
_atom_site_fract_x
_atom_site_fract_y
_atom_site_fract_z
Mg1 Mg 0.000 0.000 0.000
Si1 Si 0.000 0.000 0.500
P1 P 0.207 0.250 0.625
# Uncorrected formation energy in eV per formula unit: -1.59
# Offset from the most stable computed form in eV/f.u.: 0.000
# Electronic total energy in eV/atom: -5.159